Record 1
# CeSm2ErSe4 | Alexandria | GGA-PBE | optimized geometry
# raw formation energy = -1.790 eV per atom
# volume = 201.6 Å³/cell
# electronic total energy = -6.0242 eV per atom
data_CeSm2ErSe4
_symmetry_space_group_name_H-M 'P 1'
_symmetry_Int_Tables_number 1
_symmetry_space_group_name_Hall 'P 1'
_cell_length_a 4.115
_cell_length_b 7.228
_cell_length_c 7.171
_cell_angle_alpha 109.07
_cell_angle_beta 90.00
_cell_angle_gamma 90.00
loop_
_atom_site_label
_atom_site_type_symbol
_atom_site_fract_x
_atom_site_fract_y
_atom_site_fract_z
Se1 Se 0.500 0.241 0.242
Se2 Se 0.500 0.759 0.758
Se3 Se 0.000 0.756 0.247
Se4 Se 0.000 0.244 0.753
Sm1 Sm 0.500 0.000 0.500
Sm2 Sm 0.000 0.500 0.500
Er1 Er 0.000 0.000 0.000
Ce1 Ce 0.500 0.500 0.000


Record 2
# Dy3ErTm2 | Alexandria | GGA-PBE | optimized geometry
# formation energy from the elements = -0.003 eV/f.u.
# volume = 368.0 Å³/cell
# electronic total energy = -4.5525 eV per atom
data_Dy3ErTm2
_symmetry_space_group_name_H-M 'P 1'
_symmetry_Int_Tables_number 1
_symmetry_space_group_name_Hall 'P 1'
_cell_length_a 7.089
_cell_length_b 6.133
_cell_length_c 9.402
_cell_angle_alpha 102.58
_cell_angle_beta 112.15
_cell_angle_gamma 90.00
loop_
_atom_site_label
_atom_site_type_symbol
_atom_site_fract_x
_atom_site_fract_y
_atom_site_fract_z
Tm1 Tm 0.458 0.972 0.666
Tm2 Tm 0.542 0.028 0.334
Tm3 Tm 0.792 0.528 0.334
Tm4 Tm 0.208 0.472 0.666
Dy1 Dy 0.293 0.527 0.335
Dy2 Dy 0.874 0.250 0.000
Dy3 Dy 0.043 0.027 0.335
Dy4 Dy 0.126 0.750 0.000
Dy5 Dy 0.957 0.973 0.665
Dy6 Dy 0.707 0.473 0.665
Er1 Er 0.624 0.750 0.000
Er2 Er 0.376 0.250 0.000


Record 3
# Re3AgBr | Alexandria | GGA-PBE | optimized geometry
# raw formation energy = 2.353 eV per atom
# energy relative to the lowest polymorph listed for this composition = 0.0 meV/atom
# volume = 94.6 Å³/cell
# electronic total energy = -6.0208 eV per atom
data_Re3AgBr
_symmetry_space_group_name_H-M 'P 1'
_symmetry_Int_Tables_number 1
_symmetry_space_group_name_Hall 'P 1'
_cell_length_a 4.556
_cell_length_b 4.556
_cell_length_c 4.556
_cell_angle_alpha 90.00
_cell_angle_beta 90.00
_cell_angle_gamma 90.00
loop_
_atom_site_label
_atom_site_type_symbol
_atom_site_fract_x
_atom_site_fract_y
_atom_site_fract_z
Ag1 Ag 0.500 0.500 0.500
Br1 Br 0.000 0.000 0.000
Re1 Re 0.000 0.500 0.000
Re2 Re 0.500 0.000 0.000
Re3 Re 0.000 0.000 0.500


Taking the records one at a time from the top gives spin magnetization values of 0.12 0.00 0.13 μB per atom.